Compound: TiTl3V2S6
Source: Alexandria via LeMat-Bulk
Functional: PBE
Structure: relaxed

a = 5.959 Å, b = 5.959 Å, c = 8.137 Å
α = 90.05°, β = 90.05°, γ = 119.71°
Atoms (fractional coordinates):
Ti 0.000 0.000 0.000
Tl 0.000 0.000 0.500
Tl 0.331 0.669 0.500
Tl 0.669 0.331 0.500
V 0.347 0.653 0.000
V 0.653 0.347 0.000
S 0.003 0.662 0.167
S 0.335 0.335 0.178
S 0.338 0.997 0.833
S 0.662 0.003 0.167
S 0.665 0.665 0.822
S 0.997 0.338 0.833

Values from the calculation:
Its formation energy (no corrections) is -9.67 eV per formula unit. Its total energy is -5.639 eV/atom.